Model a:
Entry from Alexandria: a relaxed structure of HfZnPO2 (PBE-GGA).

a = 3.849 Å, b = 3.849 Å, c = 4.602 Å
α = 90.00°, β = 90.00°, γ = 90.00°
Space group P4/mmm (No. 123)
Inequivalent atoms, fractional coordinates:
Hf1 0.000 0.000 0.000 x1
Zn1 0.500 0.500 0.500 x1
P1 0.500 0.500 0.000 x1
O1 0.000 0.500 0.500 x2

Properties
Total magnetization = 0.0 μB per formula unit


Model b:
Entry from Alexandria: a relaxed structure of HfZnPO2 (PBE-GGA).

a = 3.966 Å, b = 3.966 Å, c = 5.596 Å
α = 90.00°, β = 90.00°, γ = 90.00°
Space group P4/mmm (No. 123)
Inequivalent atoms, fractional coordinates:
Hf1 0.000 0.000 0.000 x1
Zn1 0.500 0.500 0.500 x1
P1 0.000 0.000 0.500 x1
O1 0.000 0.500 0.000 x2

Properties
Total magnetization = 0.2 μB per formula unit


Energy above the most stable structure, in kJ/mol of atoms: model a 82.0; model b 0.0